Below is a relaxed Pr2SmO3 crystal, with properties calculated at the GGA-PBE level.

Properties
Magnetization ... 0.0 μB/cell
Final energy ... -45.474 eV for the cell shown

```
6
Lattice="3.5483 0.0000 0.0000 -1.7741 3.0729 0.0000 0.0000 0.0000 8.7339" Properties=species:S:1:pos:R:3 pbc="T T T"
O 0.0000 0.0000 0.0000
O 1.7741 1.0243 3.0477
O 0.0000 2.0486 5.6862
Pr 0.0000 2.0486 1.4700
Pr 1.7741 1.0243 7.2639
Sm 0.0000 0.0000 4.3670
```